A plane-wave DFT calculation with PBE was carried out for crystalline LiTiB at its relaxed geometry.

The structure in CIF format:
```
data_LiTiB
_chemical_formula_sum 'Li4 Ti4 B4'
_cell_length_a 3.811
_cell_length_b 6.613
_cell_length_c 4.884
_cell_angle_alpha 90.00
_cell_angle_beta 90.00
_cell_angle_gamma 90.00
_symmetry_space_group_name_H-M 'C m c m'
_symmetry_Int_Tables_number 63
_symmetry_space_group_name_Hall '-C 2c 2'
loop_
_atom_site_label
_atom_site_fract_x
_atom_site_fract_y
_atom_site_fract_z
Li1 0.000 0.165 0.250
Ti1 0.000 0.168 0.750
B1 0.000 0.500 0.000
```

Computed properties:
offset from the most stable computed form = 706 meV per atom
energy of formation from the pure elements = 0.2937 eV per atom
V = 123.08 Å³ per cell
total magnetization = 0.00 μB per atom

---

A plane-wave DFT calculation with PBE was carried out for crystalline KRbNbCl6 at its relaxed geometry.

The structure in CIF format:
```
data_KRbNbCl6
_chemical_formula_sum 'K2 Rb2 Nb2 Cl12'
_cell_length_a 7.5740
_cell_length_b 7.5740
_cell_length_c 12.9238
_cell_angle_alpha 90.00
_cell_angle_beta 90.00
_cell_angle_gamma 120.00
_symmetry_space_group_name_H-M 'P -3 1 c'
_symmetry_Int_Tables_number 163
_symmetry_space_group_name_Hall '-P 3 2c'
loop_
_atom_site_label
_atom_site_fract_x
_atom_site_fract_y
_atom_site_fract_z
K1 0.3333 0.6667 0.2500
Rb1 0.0000 0.0000 0.0000
Nb1 0.3333 0.6667 0.7500
Cl1 0.0695 0.4048 0.6401
```

Computed properties:
E_form (uncorrected) = -1374 kJ/mol of formula units
V = 642.05 Å³ per cell
total magnetization = 0.11 μB per atom

---

A plane-wave DFT calculation with PBE was carried out for crystalline TlVSe at its relaxed geometry.

The structure in CIF format:
```
data_TlVSe
_chemical_formula_sum 'Tl2 V2 Se2'
_cell_length_a 4.902
_cell_length_b 3.614
_cell_length_c 9.049
_cell_angle_alpha 90.00
_cell_angle_beta 96.24
_cell_angle_gamma 90.00
_symmetry_space_group_name_H-M 'P 1 m 1'
_symmetry_Int_Tables_number 6
loop_
_symmetry_equiv_pos_as_xyz
'x,y,z'
'x,-y,z'
loop_
_atom_site_label
_atom_site_fract_x
_atom_site_fract_y
_atom_site_fract_z
Tl1 0.000 0.000 0.000
Tl2 0.345 0.500 0.743
V1 0.388 0.000 0.315
V2 0.562 0.000 0.521
Se1 0.039 0.000 0.483
Se2 0.525 0.500 0.156
```

Computed properties:
offset from the most stable computed form = 379 meV per atom
E_form (uncorrected) = 9 kJ/mol of formula units
V = 159.36 Å³ per cell
total magnetization = 0.00 μB per atom